## Rb3Pm3FeO8 (GGA+U)

Data for Rb3Pm3FeO8 after structural relaxation.

## Properties
The value obtained for the volume is 281.0 Å³/cell. The calculation puts the calculated total energy at -6.408 eV/atom. For the theoretical density, the calculation gives 5.17 g/cm3. The space-group type is R-3m.

Lattice parameters (Å, degrees): 7.0075 7.0064 7.7475 116.86 90.00 120.01
With the nearest neighbours (Å) after each atom.
Element x y z (fractional)
1 Rb 0.0000 0.0000 0.0000  6 O 2.93-2.94
2 Rb 0.0000 0.5000 0.0000  6 O 2.93-2.94
3 Rb 0.5000 0.5000 0.0000  6 O 2.93-2.94
4 Pm 0.5000 0.0000 0.5000  6 O 2.34-2.40
5 Pm 0.5000 0.5000 0.5000  6 O 2.34-2.40
6 Pm 0.0000 0.5000 0.5000  6 O 2.34-2.40
7 Fe 0.0000 0.0000 0.5000  6 O 2.10
8 O 0.2739 0.5478 0.3217  3 Pm 2.34
9 O 0.7261 0.4522 0.6783  3 Pm 2.34
10 O 0.7976 0.5952 0.3365  1 Fe 2.10
11 O 0.2024 0.4048 0.6635  1 Fe 2.10
12 O 0.7972 0.0392 0.3361  1 Fe 2.10
13 O 0.2028 0.9608 0.6639  1 Fe 2.10
14 O 0.2418 0.0391 0.3363  1 Fe 2.10
15 O 0.7582 0.9609 0.6637  1 Fe 2.10